No. 1
# Ac2ErPtO6 | Alexandria via LeMat-Bulk | PBE-GGA | relaxed
data_Ac2ErPtO6
_cell_length_a 11.854
_cell_length_b 5.647
_cell_length_c 5.231
_cell_angle_alpha 90.00
_cell_angle_beta 113.02
_cell_angle_gamma 90.00
_symmetry_space_group_name_H-M 'C 1 2/m 1'
_symmetry_Int_Tables_number 12
loop_
_symmetry_equiv_pos_as_xyz
'x,y,z'
'-x,-y,-z'
'-x,y,-z'
'x,-y,z'
'x+1/2,y+1/2,z'
'-x+1/2,-y+1/2,-z'
'-x+1/2,y+1/2,-z'
'x+1/2,-y+1/2,z'
loop_
_atom_site_label
_atom_site_type_symbol
_atom_site_fract_x
_atom_site_fract_y
_atom_site_fract_z
_atom_site_occupancy
Ac1 Ac 0.240 0.000 0.218 1
Er1 Er 0.000 0.500 0.000 1
Pt1 Pt 0.000 0.000 0.500 1
O1 O 0.083 0.239 0.795 1
O2 O 0.194 0.500 0.295 1
# ΔE_f (raw) (eV per atom): -2.6305
# Size of the total moment (μB per atom): 0.099
# Total energy (Ry per atom): -0.5503

No. 2
# Ac2ErPtO8 | Alexandria via LeMat-Bulk | PBE-GGA | relaxed
data_Ac2ErPtO8
_cell_length_a 5.6872
_cell_length_b 5.6872
_cell_length_c 6.2084
_cell_angle_alpha 90.00
_cell_angle_beta 90.00
_cell_angle_gamma 120.00
_symmetry_space_group_name_H-M 'P -3 m 1'
_symmetry_Int_Tables_number 164
_symmetry_space_group_name_Hall '-P 3 2"'
loop_
_atom_site_label
_atom_site_type_symbol
_atom_site_fract_x
_atom_site_fract_y
_atom_site_fract_z
_atom_site_occupancy
Ac1 Ac 0.3333 0.6667 0.3626 1
Er1 Er 0.0000 0.0000 0.0000 1
Pt1 Pt 0.0000 0.0000 0.5000 1
O1 O 0.1587 0.3173 0.6998 1
O2 O 0.3333 0.6667 0.0186 1
# ΔE_f (raw) (eV per atom): -1.8323
# Size of the total moment (μB per atom): 0.257
# Total energy (Ry per atom): -0.4929

No. 3
# AcErPuO6 | Alexandria via LeMat-Bulk | PBE-GGA | relaxed
data_AcErPuO6
_cell_length_a 5.7842
_cell_length_b 5.7842
_cell_length_c 10.3580
_cell_angle_alpha 90.00
_cell_angle_beta 90.00
_cell_angle_gamma 120.00
_symmetry_space_group_name_H-M 'P -3 1 c'
_symmetry_Int_Tables_number 163
_symmetry_space_group_name_Hall '-P 3 2c'
loop_
_atom_site_label
_atom_site_type_symbol
_atom_site_fract_x
_atom_site_fract_y
_atom_site_fract_z
_atom_site_occupancy
Ac1 Ac 0.0000 0.0000 0.0000 1
Er1 Er 0.3333 0.6667 0.2500 1
Pu1 Pu 0.3333 0.6667 0.7500 1
O1 O 0.0222 0.3725 0.6419 1
# ΔE_f (raw) (eV per atom): -3.1137
# Size of the total moment (μB per atom): 0.222
# Total energy (Ry per atom): -0.6597

No. 4
# Ac2ErPuO8 | Alexandria via LeMat-Bulk | PBE-GGA | relaxed
data_Ac2ErPuO8
_cell_length_a 4.282
_cell_length_b 7.587
_cell_length_c 5.751
_cell_angle_alpha 90.00
_cell_angle_beta 97.04
_cell_angle_gamma 90.00
_symmetry_space_group_name_H-M 'P 1 2/m 1'
_symmetry_Int_Tables_number 10
loop_
_symmetry_equiv_pos_as_xyz
'x,y,z'
'-x,-y,-z'
'-x,y,-z'
'x,-y,z'
loop_
_atom_site_label
_atom_site_type_symbol
_atom_site_fract_x
_atom_site_fract_y
_atom_site_fract_z
_atom_site_occupancy
Ac1 Ac 0.000 0.247 0.000 1
Er1 Er 0.500 0.000 0.500 1
Pu1 Pu 0.500 0.500 0.500 1
O1 O 0.060 0.000 0.259 1
O2 O 0.099 0.500 0.302 1
O3 O 0.440 0.281 0.720 1
# ΔE_f (raw) (eV per atom): -2.9892
# Size of the total moment (μB per atom): 0.083
# Total energy (Ry per atom): -0.6287